Here is a relaxed structure of Mo3Cl2 from OQMD via LeMat-Bulk. Energies are from PBE-GGA.

abc: 6.4653 6.4653 5.6499
angles: 124.90 55.10 120.00
Last column: nearest neighbours and their distance in Å.
Atoms (fractional coordinates):
Mo 0.9654 0.4654 0.2500  4 Cl 2.36-2.55
Mo 0.4654 0.2500 0.7500  4 Cl 2.36-2.55
Mo 0.5346 0.7500 0.2500  4 Cl 2.36-2.55
Mo 0.0346 0.5346 0.7500  4 Cl 2.36-2.55
Mo 0.7500 0.9654 0.7500  4 Cl 2.36-2.55
Mo 0.2500 0.0346 0.2500  4 Cl 2.36-2.55
Cl 0.8891 0.1109 0.3326  6 Mo 2.36-2.55
Cl 0.6109 0.3891 0.1674  6 Mo 2.36-2.55
Cl 0.1109 0.8891 0.6674  6 Mo 2.36-2.55
Cl 0.3891 0.6109 0.8326  6 Mo 2.36-2.55

Volume   154 Å³ per cell
Final energy   -63.99 eV for the cell shown
Symmetry   R-3c